# 1
5
Lattice="4.719 0.000 0.000 0.000 4.719 0.000 0.000 0.000 4.719" Properties=species:S:1:pos:R:3 comment="PBE-GGA YZn3Rh, optimized geometry" e_form_ev_per_atom=-0.1428 magmom_total_mub_per_cell=0.001 crystal_system=cubic polymorph_energy_ev_per_fu=1.65 pbc="T T T"
Y 2.359 2.359 2.359
Zn 0.000 0.000 2.359
Zn 2.359 0.000 0.000
Rh 0.000 0.000 0.000
Zn 0.000 2.359 0.000

=====

# 2
22
Lattice="-2.729 6.887 -3.248 -5.889 -3.454 4.338 6.307 1.599 4.807" Properties=species:S:1:pos:R:3 comment="PBE-GGA Y3Zn2Rh6, optimized geometry" e_form_ev_per_atom=-0.5579 magmom_total_mub_per_cell=0.000 crystal_system=cubic pbc="T T T"
Rh -1.732 4.095 0.910
Rh -3.684 2.754 2.220
Rh 1.372 2.278 3.677
Rh 0.375 5.071 -0.481
Y 0.296 -1.315 6.484
Zn -2.945 -1.727 2.169
Rh -2.817 0.542 3.516
Zn 3.153 0.800 2.403
Rh -4.804 0.098 1.732
Y -6.111 2.434 0.773
Rh 0.506 4.490 2.381
Rh -3.815 3.335 -0.642
Rh -1.700 -1.718 4.499
Y 1.041 2.469 0.453
Zn -1.156 2.516 2.948
Rh 3.203 3.416 2.040
Rh 2.117 -0.137 4.646
Y -2.507 0.999 0.317
Y 0.122 -0.540 2.661
Zn -1.365 3.444 -1.624
Rh -0.580 0.938 4.987
Y 2.537 6.017 1.105

=====

# 3
12
Lattice="4.103 0.000 0.000 0.000 7.179 0.000 0.000 0.000 7.951" Properties=species:S:1:pos:R:3 comment="PBE-GGA YZnRh, optimized geometry" e_form_ev_per_atom=-0.6294 magmom_total_mub_per_cell=0.000 crystal_system=orthorhombic pbc="T T T"
Y 0.000 0.000 5.469
Y 2.052 3.589 1.494
Y 0.000 3.589 6.246
Rh 2.052 5.139 4.808
Zn 2.052 5.820 7.274
Zn 0.000 4.948 3.299
Zn 2.052 1.358 7.274
Zn 0.000 2.231 3.299
Rh 0.000 5.629 0.832
Y 2.052 0.000 2.271
Rh 0.000 1.550 0.832
Rh 2.052 2.040 4.808

=====

# 4
4
Lattice="3.550 0.000 0.000 0.000 3.447 0.001 0.000 3.450 7.072" Properties=species:S:1:pos:R:3 comment="PBE-GGA Y2ZnRh, optimized geometry" e_form_ev_per_atom=-0.6095 magmom_total_mub_per_cell=0.000 crystal_system=orthorhombic pbc="T T T"
Zn 1.775 1.724 1.768
Rh 1.775 5.173 5.304
Y 0.000 3.448 6.983
Y 0.000 3.451 3.625

=====

# 5
10
Lattice="-4.192 -0.886 -3.849 -2.422 -5.124 -1.027 -6.481 0.072 4.175" Properties=species:S:1:pos:R:3 comment="PBE-GGA Y2ZnRh2, optimized geometry" e_form_ev_per_atom=-0.7523 magmom_total_mub_per_cell=0.000 crystal_system=monoclinic pbc="T T T"
Y -6.285 -2.712 1.403
Zn -4.307 -4.473 -0.404
Y -3.572 -1.486 -1.525
Y -9.524 -4.451 0.824
Rh -11.233 -2.229 0.043
Zn -8.789 -1.464 -0.296
Y -6.811 -3.225 -2.104
Rh -6.361 -0.662 -0.660
Rh -6.735 -5.275 -0.041
Rh -1.863 -3.708 -0.743

=====

# 6
6
Lattice="0.394 -3.827 1.983 2.474 -3.810 -3.122 5.260 -0.648 2.426" Properties=species:S:1:pos:R:3 comment="PBE-GGA Y2Zn3Rh, optimized geometry" e_form_ev_per_atom=-0.5311 magmom_total_mub_per_cell=0.000 crystal_system=monoclinic pbc="T T T"
Zn 6.680 -4.136 0.136
Y 3.704 -4.984 -0.910
Rh 2.644 -2.233 -0.112
Zn 1.426 -4.132 1.188
Y 4.328 -3.357 2.107
Zn 5.601 -6.012 1.452

=====

# 7
14
Lattice="4.182 0.000 1.167 1.417 7.355 3.000 0.003 -0.022 8.068" Properties=species:S:1:pos:R:3 comment="PBE-GGA Y3Zn9Rh2, optimized geometry" e_form_ev_per_atom=-0.4459 magmom_total_mub_per_cell=0.000 crystal_system=orthorhombic pbc="T T T"
Zn 1.840 2.224 1.485
Y 0.000 0.000 0.000
Y 3.334 2.250 4.206
Rh 3.060 5.015 5.191
Zn 3.762 5.109 10.750
Y 2.268 5.082 8.029
Zn 1.444 0.161 2.902
Zn 4.227 2.969 9.085
Zn 0.749 1.099 5.393
Zn 4.158 7.172 9.332
Zn 0.710 3.666 5.534
Zn 1.375 4.364 3.150
Rh 2.542 2.318 7.044
Zn 4.853 6.234 6.842

=====

# 8
8
Lattice="4.464 0.000 0.000 0.000 5.322 -1.953 0.000 -0.039 7.592" Properties=species:S:1:pos:R:3 comment="PBE-GGA Y2ZnRh, optimized geometry" e_form_ev_per_atom=-0.6241 magmom_total_mub_per_cell=0.000 crystal_system=monoclinic pbc="T T T"
Y 3.348 1.179 6.573
Y 1.116 4.181 2.752
Y 1.116 4.103 -0.934
Rh 3.348 3.421 0.906
Zn 3.348 3.456 4.687
Zn 1.116 1.826 0.952
Rh 1.116 1.861 4.733
Y 3.348 1.101 2.888

=====

# 9
6
Lattice="-2.406 -2.013 1.649 2.571 -2.189 1.079 1.206 5.736 8.761" Properties=species:S:1:pos:R:3 comment="PBE-GGA Y3Zn2Rh, optimized geometry" e_form_ev_per_atom=-0.5305 magmom_total_mub_per_cell=0.000 crystal_system=tetragonal polymorph_energy_ev_per_fu=0.00 pbc="T T T"
Rh 0.685 0.767 5.745
Y 0.000 0.000 0.000
Zn 1.086 2.669 8.650
Zn 0.285 -1.136 2.839
Y 0.790 3.758 5.740
Y 0.416 1.978 3.021

=====

# 10
10
Lattice="3.471 0.000 0.000 0.000 3.471 0.000 0.000 0.000 17.300" Properties=species:S:1:pos:R:3 comment="PBE-GGA Y5ZnRh4, optimized geometry" e_form_ev_per_atom=-0.7475 magmom_total_mub_per_cell=0.000 crystal_system=tetragonal pbc="T T T"
Y 1.735 1.735 5.242
Y 1.735 1.735 1.872
Rh 0.000 0.000 6.943
Zn 0.000 0.000 0.000
Rh 0.000 0.000 10.357
Y 1.735 1.735 12.059
Rh 0.000 0.000 3.510
Y 1.735 1.735 8.650
Rh 0.000 0.000 13.791
Y 1.735 1.735 15.428

=====

# 11
12
Lattice="7.051 0.000 0.058 0.000 4.105 0.000 -5.988 0.000 8.080" Properties=species:S:1:pos:R:3 comment="PBE-GGA YZnRh, optimized geometry" e_form_ev_per_atom=-0.6510 magmom_total_mub_per_cell=0.000 crystal_system=monoclinic pbc="T T T"
Rh 0.952 2.052 5.352
Rh -2.883 0.000 6.825
Y -1.128 0.000 4.563
Zn -0.454 0.000 1.391
Rh 0.111 2.052 2.785
Rh 3.946 0.000 1.313
Zn 4.511 2.052 2.706
Y 1.866 2.052 0.523
Zn -3.448 2.052 5.431
Y 2.191 0.000 3.574
Y -0.803 2.052 7.614
Zn 1.517 0.000 6.746

=====

# 12
11
Lattice="5.139 0.000 0.000 0.000 6.744 0.258 -2.569 -2.580 8.404" Properties=species:S:1:pos:R:3 comment="PBE-GGA Y8Zn2Rh, optimized geometry" e_form_ev_per_atom=-0.2713 magmom_total_mub_per_cell=0.000 crystal_system=monoclinic polymorph_energy_ev_per_fu=0.00 pbc="T T T"
Y 2.569 5.696 2.920
Y 2.569 3.054 5.194
Rh 2.569 0.000 0.000
Zn 0.000 3.955 3.374
Zn 2.569 0.208 5.288
Y 0.000 1.110 3.468
Y 0.000 -1.532 5.742
Y 2.569 -0.976 7.982
Y 0.000 1.668 7.052
Y 0.000 5.139 0.680
Y 2.569 2.496 1.610

=====

# 13
4
Lattice="7.741 -0.019 -0.012 7.025 3.251 -0.012 7.025 1.537 2.864" Properties=species:S:1:pos:R:3 comment="PBE-GGA YZnRh2, optimized geometry" e_form_ev_per_atom=-0.2338 magmom_total_mub_per_cell=0.000 crystal_system=trigonal pbc="T T T"
Zn 16.344 3.576 2.131
Rh 0.168 0.037 0.022
Y 5.448 1.192 0.710
Rh 10.728 2.347 1.399

=====

# 14
13
Lattice="5.466 0.000 0.000 2.733 6.175 0.000 2.733 0.000 6.164" Properties=species:S:1:pos:R:3 comment="PBE-GGA YZn10Rh2, optimized geometry" e_form_ev_per_atom=-0.2654 magmom_total_mub_per_cell=0.000 crystal_system=orthorhombic pbc="T T T"
Zn 8.199 2.204 4.076
Zn 5.466 1.350 4.826
Rh 1.366 3.087 0.000
Rh 4.099 3.087 0.000
Y 0.000 0.000 0.000
Zn 1.366 0.000 3.082
Zn 5.466 3.970 4.076
Zn 2.733 3.970 2.088
Zn 4.099 0.000 3.082
Zn 8.199 4.824 4.826
Zn 2.733 1.350 1.338
Zn 5.466 2.204 2.088
Zn 5.466 4.824 1.338

=====

# 15
11
Lattice="-3.192 -0.264 -2.598 -3.282 -4.386 4.478 0.228 7.784 2.201" Properties=species:S:1:pos:R:3 comment="PBE-GGA Y3Zn4Rh4, optimized geometry" e_form_ev_per_atom=-0.6156 magmom_total_mub_per_cell=0.000 crystal_system=orthorhombic pbc="T T T"
Zn -3.645 0.397 1.164
Zn -4.903 -1.284 2.881
Rh -2.969 0.217 3.626
Zn -1.343 4.419 1.200
Y -0.753 1.367 0.786
Y -1.641 -2.193 2.239
Zn -2.601 2.737 2.917
Rh -4.254 -3.683 2.327
Y -5.493 1.768 3.295
Rh -3.277 2.918 0.455
Rh -2.221 -0.967 -0.447

=====

# 16
8
Lattice="4.209 0.000 0.000 0.000 4.209 0.000 2.104 2.104 8.715" Properties=species:S:1:pos:R:3 comment="PBE-GGA YZnRh2, optimized geometry" e_form_ev_per_atom=-0.1978 magmom_total_mub_per_cell=0.000 crystal_system=tetragonal pbc="T T T"
Zn 2.104 2.104 0.000
Rh 5.261 4.990 6.537
Zn 2.104 4.209 4.358
Y 0.000 0.000 0.000
Rh 2.886 1.052 2.179
Rh 3.156 3.427 6.537
Y 4.209 2.104 4.358
Rh 1.323 3.156 2.179

=====

# 17
18
Lattice="5.525 0.000 0.000 0.000 8.485 0.000 0.000 0.000 8.485" Properties=species:S:1:pos:R:3 comment="PBE-GGA Y4ZnRh4, optimized geometry" e_form_ev_per_atom=-0.6064 magmom_total_mub_per_cell=0.000 crystal_system=tetragonal pbc="T T T"
Rh 4.880 3.076 4.243
Zn 1.381 6.363 6.363
Rh 2.117 0.001 5.409
Y 3.410 6.929 0.400
Y 4.878 0.400 5.798
Y 2.115 1.556 8.084
Y 0.647 4.643 1.556
Rh 2.117 4.242 7.318
Y 4.878 3.842 6.929
Rh 4.880 1.166 8.484
Y 3.410 5.798 3.842
Rh 0.645 7.318 0.001
Rh 0.645 5.409 4.242
Rh 3.408 8.484 3.076
Y 2.115 2.686 4.643
Y 0.647 8.084 2.686
Rh 3.408 4.243 1.166
Zn 4.144 2.121 2.121

=====

# 18
13
Lattice="4.793 0.077 1.997 2.432 6.271 1.013 -0.044 0.039 6.856" Properties=species:S:1:pos:R:3 comment="PBE-GGA YZn11Rh, optimized geometry" e_form_ev_per_atom=-0.2500 magmom_total_mub_per_cell=0.000 crystal_system=monoclinic pbc="T T T"
Zn 2.375 0.058 4.426
Rh 3.613 3.174 1.505
Zn 2.891 1.421 6.587
Zn 5.306 5.004 7.594
Zn 4.291 4.966 3.279
Zn 5.524 2.326 6.783
Zn 3.869 2.287 4.005
Zn 3.313 4.099 5.862
Zn 1.876 1.382 2.273
Zn 1.216 3.135 0.507
Zn 1.658 4.061 3.083
Zn -0.022 0.019 3.428
Y 0.000 0.000 0.000

=====

# 19
8
Lattice="-7.069 0.374 2.850 0.420 -7.350 2.007 -2.086 -2.610 5.385" Properties=species:S:1:pos:R:3 comment="PBE-GGA Y2ZnRh, optimized geometry" e_form_ev_per_atom=-0.1685 magmom_total_mub_per_cell=0.000 crystal_system=tetragonal pbc="T T T"
Y -5.088 -1.327 3.460
Y -0.942 -5.210 2.876
Zn -3.324 -3.488 2.429
Y -4.070 -4.364 5.803
Rh -6.239 -2.862 5.332
Zn -2.495 -6.724 4.910
Y -7.370 -8.271 8.346
Rh 0.000 0.000 0.000

=====

# 20
7
Lattice="-4.088 0.928 -2.486 1.712 -2.567 -3.773 -3.796 -6.010 -0.781" Properties=species:S:1:pos:R:3 comment="PBE-GGA YZn2Rh4, optimized geometry" e_form_ev_per_atom=0.8074 magmom_total_mub_per_cell=1.290 crystal_system=tetragonal pbc="T T T"
Rh -2.710 -3.848 -1.759
Rh -3.462 -3.801 -5.281
Rh -2.044 0.464 -1.243
Zn -1.707 -1.854 -2.662
Y 0.000 0.000 0.000
Zn -4.464 -5.795 -4.378
Rh 0.856 -1.283 -1.886

=====

# 21
4
Lattice="-5.047 3.392 1.033 -5.019 -2.144 2.875 6.084 0.993 0.236" Properties=species:S:1:pos:R:3 comment="PBE-GGA Y2ZnRh, optimized geometry" e_form_ev_per_atom=-0.4513 magmom_total_mub_per_cell=0.000 crystal_system=orthorhombic pbc="T T T"
Y -2.014 2.507 1.617
Y -0.359 0.045 0.140
Zn -4.530 0.562 1.759
Rh -2.112 -0.248 2.582

=====

# 22
5
Lattice="5.369 0.000 0.000 0.000 5.369 0.000 2.685 2.685 3.867" Properties=species:S:1:pos:R:3 comment="PBE-GGA Y2ZnRh2, optimized geometry" e_form_ev_per_atom=-0.4650 magmom_total_mub_per_cell=0.000 crystal_system=tetragonal pbc="T T T"
Y 5.369 2.685 1.933
Y 2.685 5.369 1.933
Rh 2.685 2.685 1.321
Rh 5.369 5.369 2.546
Zn 0.000 0.000 0.000